Y2Al9Au3: optimized geometry, PBE.

Summary:
DFT formation energy ... -0.40 eV per atom
Crystal system ... monoclinic
Total moment ... 0.000 μB/atom
DFT total energy ... -4.435 eV/atom
Space group ... C2/c

Cell lengths 8.063, 8.063, 10.478 Å; angles 94.51, 104.52, 124.88 degrees
Element x y z (fractional)
Al 0.890 0.883 0.574
Au 0.181 0.839 0.523
Al 0.487 0.925 0.745
Y 0.378 0.241 0.771
Al 0.192 0.685 0.074
Y 0.622 0.759 0.229
Al 0.225 0.491 0.613
Al 0.456 0.803 0.456
Y 0.970 0.607 0.729
Au 0.816 0.658 0.977
Al 0.544 0.197 0.544
Al 0.153 0.000 0.956
Au 0.819 0.161 0.477
Al 0.847 0.000 0.044
Al 0.513 0.075 0.255
Al 0.320 0.258 0.245
Al 0.379 0.612 0.887
Au 0.500 0.000 0.000
Au 0.184 0.342 0.023
Al 0.944 0.194 0.750
Al 0.621 0.388 0.113
Al 0.056 0.806 0.250
Al 0.775 0.509 0.387
Au 0.500 0.500 0.500
Al 0.808 0.315 0.926
Al 0.110 0.117 0.426
Al 0.680 0.742 0.755
Y 0.030 0.393 0.271



Ca6Zn2H: optimized geometry, PBE.

Summary:
E above lowest polymorph ... 0.000 eV per atom
Crystal system ... monoclinic
Total moment ... 0.000 μB/atom
DFT total energy ... -2.177 eV/atom
Space group ... P2_1/c

Cell lengths 6.786, 7.727, 10.023 Å; angles 90.00, 87.94, 90.00 degrees
Element x y z (fractional)
Zn 0.050 0.612 0.754
Ca 0.662 0.184 0.059
Zn 0.450 0.112 0.746
Ca 0.338 0.816 0.941
Zn 0.550 0.888 0.254
Ca 0.324 0.823 0.556
Ca 0.838 0.684 0.441
Ca 0.824 0.677 0.056
Ca 0.124 0.027 0.255
H 0.000 0.000 0.500
Ca 0.876 0.973 0.745
Ca 0.676 0.177 0.444
Ca 0.624 0.473 0.755
Zn 0.950 0.388 0.246
Ca 0.176 0.323 0.944
Ca 0.162 0.316 0.559
H 0.500 0.500 0.000
Ca 0.376 0.527 0.245



Copy entry 2 word for word.
Ca6Zn2H: optimized geometry, PBE.

Summary:
E above lowest polymorph ... 0.000 eV per atom
Crystal system ... monoclinic
Total moment ... 0.000 μB/atom
DFT total energy ... -2.177 eV/atom
Space group ... P2_1/c

Cell lengths 6.786, 7.727, 10.023 Å; angles 90.00, 87.94, 90.00 degrees
Element x y z (fractional)
Zn 0.050 0.612 0.754
Ca 0.662 0.184 0.059
Zn 0.450 0.112 0.746
Ca 0.338 0.816 0.941
Zn 0.550 0.888 0.254
Ca 0.324 0.823 0.556
Ca 0.838 0.684 0.441
Ca 0.824 0.677 0.056
Ca 0.124 0.027 0.255
H 0.000 0.000 0.500
Ca 0.876 0.973 0.745
Ca 0.676 0.177 0.444
Ca 0.624 0.473 0.755
Zn 0.950 0.388 0.246
Ca 0.176 0.323 0.944
Ca 0.162 0.316 0.559
H 0.500 0.500 0.000
Ca 0.376 0.527 0.245